[1]
Density functional theory data (SCAN) for a PBEsol-optimized structure of Ga2Ag2Se3S.

Properties
E ... -21.172 eV/atom
Formation energy (no corrections) ... -0.5107 eV per atom

Lattice parameters (Å, degrees): 12.309 5.893 5.793 90.00 117.85 90.00
Space group C2 (No. 5)
Asymmetric unit:
Ga (0.124, 0.000, 0.376) [4 per cell]
Ag (0.115, 0.505, 0.829) [4 per cell]
Se (0.000, 0.233, 0.000) [2 per cell]
Se (0.243, 0.740, 0.263) [4 per cell]
S (0.000, 0.797, 0.500) [2 per cell]

[2]
Density functional theory data (SCAN) for a PBEsol-optimized structure of BeAl2Pt2.

Properties
Energy of formation from the pure elements ... -0.870 eV/atom
E ... -32.919 eV/atom
Relative energy among the computed polymorphs ... 0.0000 eV/atom

Lattice parameters (Å, degrees): 6.127 6.127 3.844 90.00 90.00 90.00
Space group P4/mbm (No. 127)
Asymmetric unit:
Be (0.000, 0.000, 0.000) [2 per cell]
Al (0.156, 0.344, 0.500) [4 per cell]
Pt (0.159, 0.659, 0.000) [4 per cell]

[3]
Density functional theory data (SCAN) for a PBEsol-optimized structure of SrCr4.

Properties
Energy of formation from the pure elements ... 2.024 eV/atom
E ... -17.138 eV/atom

Lattice parameters (Å, degrees): 6.281 6.281 6.281 90.00 90.00 90.00
Space group Im-3m (No. 229)
Asymmetric unit:
Sr (0.000, 0.000, 0.000) [2 per cell]
Cr (0.250, 0.250, 0.250) [8 per cell]

[4]
Density functional theory data (SCAN) for a PBEsol-optimized structure of LiLaHg.

Properties
Energy of formation from the pure elements ... -0.410 eV/atom
E ... -38.297 eV/atom
Relative energy among the computed polymorphs ... 0.0887 eV/atom

Lattice parameters (Å, degrees): 3.782 3.782 10.282 90.00 90.00 90.00
Space group I4mm (No. 107)
Asymmetric unit:
Li (0.000, 0.000, 0.000) [2 per cell]
La (0.000, 0.000, 0.699) [2 per cell]
Hg (0.000, 0.000, 0.382) [2 per cell]

[5]
Density functional theory data (SCAN) for a PBEsol-optimized structure of ReCl.

Properties
E ... -39.508 eV/atom
Relative energy among the computed polymorphs ... 0.0000 eV/atom
Formation energy (no corrections) ... 0.0293 eV per atom

Lattice parameters (Å, degrees): 2.9597 2.9597 8.7570 90.00 90.00 120.00
Space group P-3m1 (No. 164)
Asymmetric unit:
Re (0.3333, 0.6667, 0.1126) [2 per cell]
Cl (0.3333, 0.6667, 0.6769) [2 per cell]

[6]
Density functional theory data (SCAN) for a PBEsol-optimized structure of Pt2C.

Properties
Energy of formation from the pure elements ... 0.613 eV/atom
E ... -49.549 eV/atom
Relative energy among the computed polymorphs ... 0.0000 eV/atom

Lattice parameters (Å, degrees): 4.069 5.610 3.314 90.00 90.00 90.00
Space group Pnnm (No. 58)
Asymmetric unit:
Pt (0.237, 0.173, 0.000) [4 per cell]
C (0.000, 0.000, 0.500) [2 per cell]

[7]
Density functional theory data (SCAN) for a PBEsol-optimized structure of BaRuPb.

Properties
Energy of formation from the pure elements ... 0.066 eV/atom
E ... -49.986 eV/atom

Lattice parameters (Å, degrees): 4.5829 4.5829 4.8981 90.00 90.00 120.00
Space group P-6m2 (No. 187)
Asymmetric unit:
Ba (0.0000, 0.0000, 0.0000) [1 per cell]
Ru (0.6667, 0.3333, 0.5000) [1 per cell]
Pb (0.3333, 0.6667, 0.5000) [1 per cell]

[8]
Density functional theory data (SCAN) for a PBEsol-optimized structure of K2ZrCu.

Properties
Energy of formation from the pure elements ... 1.345 eV/atom
E ... -14.294 eV/atom
Relative energy among the computed polymorphs ... 0.3233 eV/atom

Lattice parameters (Å, degrees): 8.035 8.035 8.035 90.00 90.00 90.00
Space group Fm-3m (No. 225)
Asymmetric unit:
K (0.250, 0.250, 0.250) [8 per cell]
Zr (0.000, 0.000, 0.000) [4 per cell]
Cu (0.000, 0.000, 0.500) [4 per cell]

[9]
Density functional theory data (SCAN) for a PBEsol-optimized structure of MgZn2Au.

Properties
Energy of formation from the pure elements ... -0.312 eV/atom
E ... -25.602 eV/atom

Lattice parameters (Å, degrees): 2.984 4.531 4.995 90.00 90.00 90.00
Space group Pmmm (No. 47)
Asymmetric unit:
Mg (0.000, 0.000, 0.000) [1 per cell]
Zn (0.500, 0.500, 0.245) [2 per cell]
Au (0.500, 0.000, 0.500) [1 per cell]

[10]
Density functional theory data (SCAN) for a PBEsol-optimized structure of SrAs3N.

Properties
E ... -18.192 eV/atom
Formation energy (no corrections) ... 0.2361 eV per atom

Lattice parameters (Å, degrees): 4.512 4.512 4.512 90.00 90.00 90.00
Space group Pm-3m (No. 221)
Asymmetric unit:
Sr (0.000, 0.000, 0.000) [1 per cell]
As (0.000, 0.500, 0.500) [3 per cell]
N (0.500, 0.500, 0.500) [1 per cell]

[11]
Density functional theory data (SCAN) for a PBEsol-optimized structure of Ag2BiPb2.

Properties
Energy of formation from the pure elements ... 0.109 eV/atom
E ... -58.466 eV/atom

Lattice parameters (Å, degrees): 7.611 7.611 4.281 90.00 90.00 90.00
Space group P4/mbm (No. 127)
Asymmetric unit:
Ag (0.128, 0.372, 0.000) [4 per cell]
Bi (0.000, 0.000, 0.000) [2 per cell]
Pb (0.169, 0.669, 0.500) [4 per cell]

[12]
Density functional theory data (SCAN) for a PBEsol-optimized structure of Ga2TePbBr.

Properties
E ... -32.568 eV/atom
Formation energy (no corrections) ... 0.4693 eV per atom

Lattice parameters (Å, degrees): 5.352 5.352 5.505 90.00 90.00 90.00
Space group P4/mmm (No. 123)
Asymmetric unit:
Ga (0.000, 0.500, 0.000) [2 per cell]
Te (0.000, 0.000, 0.500) [1 per cell]
Pb (0.500, 0.500, 0.500) [1 per cell]
Br (0.000, 0.000, 0.000) [1 per cell]